Record 1
A relaxed Ac2CuH crystal. Source: Alexandria, functional PBE-GGA.

Summary:
SG: R-3m (166)
N(E_F), states/eV/cell: 11.2
Crystal system: trigonal
Polymorph energy (0 for the lowest one), meV per atom: 3.0

Cell: 4.565 4.565 23.643 Å, 90.00 90.00 120.00°
Atoms (fractional coordinates):
Ac  0.000  0.000  0.099
Ac  0.000  0.000  0.901
Ac  0.333  0.667  0.568
Ac  0.333  0.667  0.766
Ac  0.667  0.333  0.234
Ac  0.667  0.333  0.432
Cu  0.000  0.000  0.500
Cu  0.333  0.667  0.167
Cu  0.667  0.333  0.833
H  0.000  0.000  0.000
H  0.333  0.667  0.667
H  0.667  0.333  0.333

=====

Record 2
A relaxed Ac12Cu3H5 crystal. Source: Alexandria, functional PBE-GGA.

Summary:
Uncorrected energy, eV per atom: -4.04
SG: Ia-3d (230)
N(E_F), states/eV/cell: 78.9
Crystal system: cubic

Cell: 14.559 14.559 14.559 Å, 109.47 109.47 109.47°
Atoms (fractional coordinates):
Ac  0.024  0.214  0.116
Ac  0.024  0.310  0.907
Ac  0.093  0.616  0.402
Ac  0.093  0.976  0.690
Ac  0.098  0.714  0.690
Ac  0.098  0.884  0.407
Ac  0.116  0.024  0.214
Ac  0.116  0.593  0.902
Ac  0.190  0.214  0.598
Ac  0.190  0.476  0.593
Ac  0.214  0.116  0.024
Ac  0.214  0.598  0.190
Ac  0.286  0.310  0.902
Ac  0.286  0.476  0.384
Ac  0.310  0.902  0.286
Ac  0.310  0.907  0.024
Ac  0.384  0.286  0.476
Ac  0.384  0.598  0.907
Ac  0.402  0.093  0.616
Ac  0.402  0.810  0.786
Ac  0.407  0.098  0.884
Ac  0.407  0.810  0.524
Ac  0.476  0.384  0.286
Ac  0.476  0.593  0.190
Ac  0.524  0.407  0.810
Ac  0.524  0.616  0.714
Ac  0.593  0.190  0.476
Ac  0.593  0.902  0.116
Ac  0.598  0.190  0.214
Ac  0.598  0.907  0.384
Ac  0.616  0.402  0.093
Ac  0.616  0.714  0.524
Ac  0.690  0.093  0.976
Ac  0.690  0.098  0.714
Ac  0.714  0.524  0.616
Ac  0.714  0.690  0.098
Ac  0.786  0.402  0.810
Ac  0.786  0.884  0.976
Ac  0.810  0.524  0.407
Ac  0.810  0.786  0.402
Ac  0.884  0.407  0.098
Ac  0.884  0.976  0.786
Ac  0.902  0.116  0.593
Ac  0.902  0.286  0.310
Ac  0.907  0.024  0.310
Ac  0.907  0.384  0.598
Ac  0.976  0.690  0.093
Ac  0.976  0.786  0.884
Cu  0.125  0.250  0.375
Cu  0.125  0.375  0.750
Cu  0.250  0.375  0.125
Cu  0.250  0.875  0.625
Cu  0.375  0.125  0.250
Cu  0.375  0.750  0.125
Cu  0.625  0.250  0.875
Cu  0.625  0.875  0.750
Cu  0.750  0.125  0.375
Cu  0.750  0.625  0.875
Cu  0.875  0.625  0.250
Cu  0.875  0.750  0.625
H  0.000  0.000  0.000
H  0.000  0.000  0.500
H  0.000  0.500  0.000
H  0.000  0.500  0.500
H  0.125  0.750  0.875
H  0.125  0.875  0.250
H  0.250  0.125  0.875
H  0.250  0.625  0.375
H  0.375  0.250  0.625
H  0.375  0.625  0.750
H  0.500  0.000  0.000
H  0.500  0.000  0.500
H  0.500  0.500  0.000
H  0.500  0.500  0.500
H  0.625  0.375  0.250
H  0.625  0.750  0.375
H  0.750  0.375  0.625
H  0.750  0.875  0.125
H  0.875  0.125  0.750
H  0.875  0.250  0.125

=====

Record 3
A relaxed AcCuH8Ir2 crystal. Source: Alexandria, functional PBE-GGA.

Summary:
Uncorrected energy, eV per atom: -4.55
SG: R-3 (148)
N(E_F), states/eV/cell: 0.8
Crystal system: trigonal

Cell: 6.427 6.427 6.427 Å, 43.97 43.97 43.97°
Atoms (fractional coordinates):
Ac  0.000  0.000  0.000
Cu  0.500  0.500  0.500
H  0.126  0.422  0.813
H  0.187  0.874  0.578
H  0.304  0.304  0.304
H  0.422  0.813  0.126
H  0.578  0.187  0.874
H  0.696  0.696  0.696
H  0.813  0.126  0.422
H  0.874  0.578  0.187
Ir  0.208  0.208  0.208
Ir  0.792  0.792  0.792

=====

Record 4
A relaxed KAcCu2H6 crystal. Source: Alexandria, functional PBE-GGA.

Summary:
Uncorrected energy, eV per atom: -3.61
SG: C2/c (15)
Crystal system: monoclinic

Cell: 5.930 5.930 8.680 Å, 98.80 98.80 91.86°
Atoms (fractional coordinates):
K  0.082  0.918  0.750
K  0.918  0.082  0.250
Ac  0.427  0.573  0.250
Ac  0.573  0.427  0.750
Cu  0.118  0.435  0.903
Cu  0.435  0.118  0.403
Cu  0.565  0.882  0.597
Cu  0.882  0.565  0.097
H  0.076  0.426  0.718
H  0.112  0.685  0.033
H  0.315  0.888  0.467
H  0.326  0.355  0.466
H  0.355  0.326  0.966
H  0.426  0.076  0.218
H  0.574  0.924  0.782
H  0.645  0.674  0.034
H  0.674  0.645  0.534
H  0.685  0.112  0.533
H  0.888  0.315  0.967
H  0.924  0.574  0.282

=====

Record 5
A relaxed AcMgCu2H6 crystal. Source: Alexandria, functional PBE-GGA.

Summary:
Uncorrected energy, eV per atom: -3.62
SG: R-3m (166)
N(E_F), states/eV/cell: 1.1
Crystal system: trigonal

Cell: 6.127 6.127 6.127 Å, 45.80 45.80 45.80°
Atoms (fractional coordinates):
Ac  0.000  0.000  0.000
Mg  0.500  0.500  0.500
Cu  0.220  0.220  0.220
Cu  0.780  0.780  0.780
H  0.092  0.563  0.563
H  0.437  0.437  0.908
H  0.437  0.908  0.437
H  0.563  0.092  0.563
H  0.563  0.563  0.092
H  0.908  0.437  0.437

=====

Record 6
A relaxed NaAcCu2H6 crystal. Source: Alexandria, functional PBE-GGA.

Summary:
Uncorrected energy, eV per atom: -3.50
SG: R-3 (148)
N(E_F), states/eV/cell: 0.7
Crystal system: trigonal

Cell: 6.694 6.694 6.694 Å, 45.01 45.01 45.01°
Atoms (fractional coordinates):
Na  0.000  0.000  0.000
Ac  0.500  0.500  0.500
Cu  0.246  0.246  0.246
Cu  0.754  0.754  0.754
H  0.000  0.414  0.863
H  0.000  0.586  0.137
H  0.137  0.000  0.586
H  0.414  0.863  0.000
H  0.586  0.137  0.000
H  0.863  0.000  0.414

=====

Record 7
A relaxed AcCuNi2H8 crystal. Source: Alexandria, functional PBE-GGA.

Summary:
Uncorrected energy, eV per atom: -4.02
SG: R-3 (148)
N(E_F), states/eV/cell: 1.6
Crystal system: trigonal

Cell: 6.351 6.351 6.351 Å, 41.52 41.52 41.52°
Atoms (fractional coordinates):
Ac  0.000  0.000  0.000
Cu  0.500  0.500  0.500
Ni  0.197  0.197  0.197
Ni  0.803  0.803  0.803
H  0.136  0.815  0.415
H  0.185  0.585  0.864
H  0.294  0.294  0.294
H  0.415  0.136  0.815
H  0.585  0.864  0.185
H  0.706  0.706  0.706
H  0.815  0.415  0.136
H  0.864  0.185  0.585

=====

Record 8
A relaxed Ac2CuH2O6 crystal. Source: Alexandria, functional PBE-GGA.

Summary:
Uncorrected energy, eV per atom: -6.11
SG: R-3m (166)
N(E_F), states/eV/cell: 2.8
Crystal system: trigonal

Cell: 5.779 5.779 5.779 Å, 54.40 54.40 54.40°
Atoms (fractional coordinates):
Ac  0.240  0.240  0.240
Ac  0.760  0.760  0.760
Cu  0.000  0.000  0.000
H  0.416  0.416  0.416
H  0.584  0.584  0.584
O  0.253  0.253  0.734
O  0.253  0.734  0.253
O  0.266  0.747  0.747
O  0.734  0.253  0.253
O  0.747  0.266  0.747
O  0.747  0.747  0.266

=====

Record 9
A relaxed AcCu2PH2 crystal. Source: Alexandria, functional PBE-GGA.

Summary:
Uncorrected energy, eV per atom: -4.55
SG: P2_1/m (11)
Crystal system: monoclinic

Cell: 6.191 4.900 6.573 Å, 90.00 112.95 90.00°
Atoms (fractional coordinates):
Ac  0.182  0.250  0.300
Ac  0.818  0.750  0.700
Cu  0.343  0.000  0.801
Cu  0.343  0.500  0.801
Cu  0.657  0.000  0.199
Cu  0.657  0.500  0.199
P  0.297  0.750  0.099
P  0.703  0.250  0.901
H  0.134  0.250  0.688
H  0.319  0.750  0.610
H  0.681  0.250  0.390
H  0.866  0.750  0.312

=====

Record 10
A relaxed Ac3Cu2P4H2 crystal. Source: Alexandria, functional PBE-GGA.

Summary:
Uncorrected energy, eV per atom: -4.95
SG: I4/mmm (139)
N(E_F), states/eV/cell: 1.6
Crystal system: tetragonal

Cell: 12.883 12.883 12.883 Å, 160.96 160.96 27.05°
Atoms (fractional coordinates):
Ac  0.000  0.000  0.000
Ac  0.180  0.180  0.000
Ac  0.820  0.820  0.000
Cu  0.448  0.448  0.000
Cu  0.552  0.552  0.000
P  0.095  0.595  0.500
P  0.405  0.905  0.500
P  0.595  0.095  0.500
P  0.905  0.405  0.500
H  0.285  0.285  0.000
H  0.715  0.715  0.000

=====

Record 11
A relaxed AcCuPH crystal. Source: Alexandria, functional PBE-GGA.

Summary:
SG: F-43m (216)
N(E_F), states/eV/cell: 0.9
Crystal system: cubic
Polymorph energy (0 for the lowest one), meV per atom: 542.5

Cell: 6.528 6.528 6.528 Å, 90.00 90.00 90.00°
Atoms (fractional coordinates):
Ac  0.000  0.000  0.000
Ac  0.000  0.500  0.500
Ac  0.500  0.000  0.500
Ac  0.500  0.500  0.000
Cu  0.250  0.250  0.250
Cu  0.250  0.750  0.750
Cu  0.750  0.250  0.750
Cu  0.750  0.750  0.250
P  0.000  0.000  0.500
P  0.000  0.500  0.000
P  0.500  0.000  0.000
P  0.500  0.500  0.500
H  0.250  0.250  0.750
H  0.250  0.750  0.250
H  0.750  0.250  0.250
H  0.750  0.750  0.750

=====

Record 12
A relaxed AcCuPH crystal. Source: Alexandria, functional PBE-GGA.

Summary:
SG: P4/nmm (129)
N(E_F), states/eV/cell: 0.4
Crystal system: tetragonal
Polymorph energy (0 for the lowest one), meV per atom: 0.0

Cell: 4.070 4.070 8.389 Å, 90.00 90.00 90.00°
Atoms (fractional coordinates):
Ac  0.250  0.250  0.189
Ac  0.750  0.750  0.811
Cu  0.250  0.750  0.500
Cu  0.750  0.250  0.500
P  0.250  0.250  0.663
P  0.750  0.750  0.337
H  0.250  0.750  0.000
H  0.750  0.250  0.000